1.
DFT (PBE-GGA) results for an optimized crystal structure of Rb2CeHgO4.

Computed properties:
raw total energy = -5.313 eV per atom
total magnetic moment = 0.00 μB/cell

Geometry as CIF:
```
data_Rb2CeHgO4
_chemical_formula_sum 'Rb2 Ce1 Hg1 O4'
_cell_length_a 6.500
_cell_length_b 3.556
_cell_length_c 7.030
_cell_angle_alpha 90.00
_cell_angle_beta 112.60
_cell_angle_gamma 90.00
_symmetry_space_group_name_H-M 'P 1 2/m 1'
_symmetry_Int_Tables_number 10
loop_
_symmetry_equiv_pos_as_xyz
'x,y,z'
'-x,-y,-z'
'-x,y,-z'
'x,-y,z'
loop_
_atom_site_label
_atom_site_type_symbol
_atom_site_fract_x
_atom_site_fract_y
_atom_site_fract_z
Rb1 Rb 0.000 0.000 0.000
Rb2 Rb 0.500 0.500 0.000
Ce1 Ce 0.000 0.500 0.500
Hg1 Hg 0.500 0.000 0.500
O1 O 0.180 0.000 0.699
O2 O 0.253 0.500 0.335
```

=====

2.
DFT (PBE-GGA) results for an optimized crystal structure of CeHgSO6.

Computed properties:
raw total energy = -6.221 eV per atom
total magnetic moment = 0.00 μB/cell

Geometry as CIF:
```
data_CeHgSO6
_chemical_formula_sum 'Ce2 Hg2 S2 O12'
_cell_length_a 5.640
_cell_length_b 10.483
_cell_length_c 6.229
_cell_angle_alpha 90.00
_cell_angle_beta 96.57
_cell_angle_gamma 90.00
_symmetry_space_group_name_H-M 'C 1 2 1'
_symmetry_Int_Tables_number 5
loop_
_symmetry_equiv_pos_as_xyz
'x,y,z'
'-x,y,-z'
'x+1/2,y+1/2,z'
'-x+1/2,y+1/2,-z'
loop_
_atom_site_label
_atom_site_type_symbol
_atom_site_fract_x
_atom_site_fract_y
_atom_site_fract_z
Ce1 Ce 0.000 0.000 0.000
Hg1 Hg 0.000 0.505 0.500
S1 S 0.000 0.706 0.000
O1 O 0.129 0.790 0.860
O2 O 0.178 0.623 0.133
O3 O 0.207 0.005 0.284
```